(1)
Density functional theory data (PBE-GGA) for a geometry-optimized SrRuO3 structure.

Results
Total magnetization, μB/cell: 4.1
Raw formation energy, eV per atom: -1.63

a = 7.7442 Å, b = 4.9462 Å, c = 7.6217 Å
α = 90.00°, β = 109.25°, γ = 90.00°
Closest atoms and distances in Å follow each position.
Element x y z (fractional)
Sr1 0.1604 0.2144 0.1489  5 O 2.36-2.56
Sr2 0.1604 0.2856 0.6489  5 O 2.36-2.56
Sr3 0.8396 0.7144 0.3511  5 O 2.36-2.56
Sr4 0.8396 0.7856 0.8511  5 O 2.36-2.56
Ru1 0.4266 0.7232 0.0369  6 O 1.96-2.12
Ru2 0.4266 0.7768 0.5369  6 O 1.96-2.12
Ru3 0.5734 0.2232 0.4631  6 O 1.96-2.12
Ru4 0.5734 0.2768 0.9631  6 O 1.96-2.12
O1 0.1647 0.6165 0.9674  1 Ru 1.99
O2 0.1647 0.8835 0.4674  1 Ru 1.99
O3 0.3311 0.0757 0.9305  2 Ru 1.96-2.06
O4 0.3311 0.4243 0.4305  2 Ru 1.96-2.06
O5 0.4365 0.5943 0.7919  3 Ru 2.00-2.12
O6 0.4365 0.9057 0.2919  3 Ru 2.00-2.12
O7 0.5635 0.0943 0.7081  3 Ru 2.00-2.12
O8 0.5635 0.4057 0.2081  3 Ru 2.00-2.12
O9 0.6689 0.5757 0.5695  2 Ru 1.96-2.06
O10 0.6689 0.9243 0.0695  2 Ru 1.96-2.06
O11 0.8353 0.1165 0.5326  1 Ru 1.99
O12 0.8353 0.3835 0.0326  1 Ru 1.99

(2)
Density functional theory data (PBE-GGA) for a geometry-optimized Sr2RuO6 structure.

Results
Total magnetization, μB/cell: 2.3
Distance to the lowest polymorph of the same formula, meV per atom: 243
Raw formation energy, eV per atom: -1.34

a = 6.4794 Å, b = 6.4794 Å, c = 6.4794 Å
α = 144.18°, β = 127.56°, γ = 65.14°
Closest atoms and distances in Å follow each position.
Element x y z (fractional)
Sr1 0.1723 0.1723 0.0000  8 O 2.52-2.66
Sr2 0.8277 0.8277 0.0000  8 O 2.52-2.66
Ru1 0.5000 0.5000 0.0000  4 O 1.94
O1 0.1393 0.3689 0.7704  1 Ru 1.94
O2 0.3293 0.0000 0.3293  1 O 1.95
O3 0.4014 0.6311 0.7704  1 Ru 1.94
O4 0.5986 0.3689 0.2296  1 Ru 1.94
O5 0.6707 0.0000 0.6707  1 O 1.95
O6 0.8607 0.6311 0.2296  1 Ru 1.94